# PBE-GGA Dy2Zn15Ag2, relaxed
data_Dy2Zn15Ag2
_cell_length_a 9.0156
_cell_length_b 9.0156
_cell_length_c 13.1673
_cell_angle_alpha 90.00
_cell_angle_beta 90.00
_cell_angle_gamma 120.00
_space_group_name_H-M_alt 'R -3 m'
_space_group_IT_number 166
_space_group_name_Hall '-R 3 2"'
loop_
_atom_site_label
_atom_site_fract_x
_atom_site_fract_y
_atom_site_fract_z
Dy1 0.0000 0.0000 0.1588
Zn1 0.0000 0.2978 0.5000
Zn2 0.0000 0.5000 0.0000
Zn3 0.0110 0.5055 0.6520
Ag1 0.0000 0.0000 0.3928
# DFT formation energy = -0.233 eV/atom
# ρ = 8.18 Mg/m³
# Total energy = -2.01 eV per atom


# PBE-GGA NbFeHgBi, relaxed
data_NbFeHgBi
_cell_length_a 6.7054
_cell_length_b 6.7054
_cell_length_c 6.7054
_cell_angle_alpha 90.00
_cell_angle_beta 90.00
_cell_angle_gamma 90.00
_space_group_name_H-M_alt 'F -4 3 m'
_space_group_IT_number 216
_space_group_name_Hall 'F -4 2 3'
loop_
_atom_site_label
_atom_site_fract_x
_atom_site_fract_y
_atom_site_fract_z
Nb1 0.0000 0.0000 0.0000
Fe1 0.0000 0.0000 0.5000
Hg1 0.2500 0.2500 0.7500
Bi1 0.2500 0.2500 0.2500
# Offset from the most stable computed form = 0.00 kcal/mol of atoms
# ρ = 12.30 Mg/m³
# Total energy = -5.07 eV per atom